Entry 1:
LiYZr after structural relaxation. Source: Alexandria, functional GGA-PBE.

CIF file:
```
data_LiYZr
_space_group_name_H-M_alt 'P 1'
_space_group_IT_number 1
_cell_length_a 5.3423
_cell_length_b 5.3423
_cell_length_c 2.9873
_cell_angle_alpha 90.00
_cell_angle_beta 90.00
_cell_angle_gamma 120.00
loop_
_space_group_symop_operation_xyz
'x,y,z'
loop_
_atom_site_label
_atom_site_type_symbol
_atom_site_fract_x
_atom_site_fract_y
_atom_site_fract_z
Y1 Y 0.0000 0.0000 0.0000
Zr1 Zr 0.3333 0.6667 0.0000
Li1 Li 0.6667 0.3333 0.5000
```

Values from the calculation:
ΔH_f (0 K) = 0.49 eV/atom
VASP energy = -5.157 eV per atom
energy above the lowest structure with this stoichiometry = 418 meV per atom

***

Entry 2:
CSe2 after structural relaxation. Source: Alexandria, functional GGA-PBE.

CIF file:
```
data_CSe2
_space_group_name_H-M_alt 'P 1'
_space_group_IT_number 1
_cell_length_a 5.0129
_cell_length_b 5.0129
_cell_length_c 9.2523
_cell_angle_alpha 90.00
_cell_angle_beta 90.00
_cell_angle_gamma 99.83
loop_
_space_group_symop_operation_xyz
'x,y,z'
loop_
_atom_site_label
_atom_site_type_symbol
_atom_site_fract_x
_atom_site_fract_y
_atom_site_fract_z
C1 C 0.0000 0.0000 0.0000
C2 C 0.5000 0.5000 0.5000
Se1 Se 0.2022 0.2022 0.8808
Se2 Se 0.2978 0.2978 0.3808
Se3 Se 0.7022 0.7022 0.6192
Se4 Se 0.7978 0.7978 0.1192
```

Values from the calculation:
VASP energy = -4.734 eV per atom
energy above the lowest structure with this stoichiometry = 103 meV per atom